No. 1
Material: CsKHg2Sb
Method: DFT, GGA-PBE
State: relaxed

The structure in CIF format:
```
data_CsKHg2Sb
_cell_length_a 5.968
_cell_length_b 5.968
_cell_length_c 6.459
_cell_angle_alpha 90.00
_cell_angle_beta 90.00
_cell_angle_gamma 90.00
_symmetry_space_group_name_H-M 'P 1'
_symmetry_Int_Tables_number 1
loop_
_symmetry_equiv_pos_as_xyz
'x,y,z'
loop_
_atom_site_label
_atom_site_fract_x
_atom_site_fract_y
_atom_site_fract_z
K1 0.000 0.000 0.500
Hg1 0.000 0.500 0.000
Hg2 0.500 0.000 0.000
Sb1 0.000 0.000 0.000
Cs1 0.500 0.500 0.500
```

calculated volume = 230 Å³ per cell
distance to the lowest polymorph of the same formula = 0.167 eV/atom
spin magnetization = 0.0 Bohr magnetons per cell

---

No. 2
Material: CsKHgSb2
Method: DFT, GGA-PBE
State: relaxed

The structure in CIF format:
```
data_CsKHgSb2
_cell_length_a 4.382
_cell_length_b 5.857
_cell_length_c 9.063
_cell_angle_alpha 108.85
_cell_angle_beta 103.99
_cell_angle_gamma 90.00
_symmetry_space_group_name_H-M 'P 1'
_symmetry_Int_Tables_number 1
loop_
_symmetry_equiv_pos_as_xyz
'x,y,z'
loop_
_atom_site_label
_atom_site_fract_x
_atom_site_fract_y
_atom_site_fract_z
Hg1 0.852 0.852 0.703
Sb1 0.053 0.053 0.105
Sb2 0.669 0.169 0.338
K1 0.184 0.684 0.367
Cs1 0.455 0.455 0.910
```

calculated volume = 213 Å³ per cell
spin magnetization = 0.0 Bohr magnetons per cell
uncorrected energy = -0.089 Ha/atom

---

No. 3
Material: CsKHg2Sb2
Method: DFT, GGA-PBE
State: relaxed

The structure in CIF format:
```
data_CsKHg2Sb2
_cell_length_a 4.916
_cell_length_b 4.916
_cell_length_c 11.128
_cell_angle_alpha 90.00
_cell_angle_beta 90.00
_cell_angle_gamma 120.00
_symmetry_space_group_name_H-M 'P 1'
_symmetry_Int_Tables_number 1
loop_
_symmetry_equiv_pos_as_xyz
'x,y,z'
loop_
_atom_site_label
_atom_site_fract_x
_atom_site_fract_y
_atom_site_fract_z
Hg1 0.667 0.333 0.723
Hg2 0.333 0.667 0.277
Cs1 0.000 0.000 0.000
K1 0.000 0.000 0.500
Sb1 0.667 0.333 0.263
Sb2 0.333 0.667 0.737
```

calculated volume = 233 Å³ per cell
spin magnetization = 0.0 Bohr magnetons per cell
uncorrected energy = -0.080 Ha/atom

---

No. 4
Material: Cs2KHgSb2
Method: DFT, GGA-PBE
State: relaxed

The structure in CIF format:
```
data_Cs2KHgSb2
_cell_length_a 8.336
_cell_length_b 7.925
_cell_length_c 10.020
_cell_angle_alpha 113.30
_cell_angle_beta 114.58
_cell_angle_gamma 90.00
_symmetry_space_group_name_H-M 'P 1'
_symmetry_Int_Tables_number 1
loop_
_symmetry_equiv_pos_as_xyz
'x,y,z'
loop_
_atom_site_label
_atom_site_fract_x
_atom_site_fract_y
_atom_site_fract_z
Sb1 0.393 0.589 0.178
Sb2 0.607 0.411 0.822
Sb3 0.786 0.089 0.178
Sb4 0.214 0.911 0.822
K1 0.000 0.750 0.000
K2 0.000 0.250 0.000
Cs1 0.899 0.669 0.338
Cs2 0.440 0.169 0.338
Cs3 0.101 0.331 0.662
Cs4 0.560 0.831 0.662
Hg1 0.500 0.750 0.000
Hg2 0.500 0.250 0.000
```

calculated volume = 542 Å³ per cell
spin magnetization = 0.0 Bohr magnetons per cell
uncorrected energy = -0.081 Ha/atom

---

No. 5
Material: CsKHg2Sb
Method: DFT, GGA-PBE
State: relaxed

The structure in CIF format:
```
data_CsKHg2Sb
_cell_length_a 5.763
_cell_length_b 4.979
_cell_length_c 8.137
_cell_angle_alpha 107.82
_cell_angle_beta 110.74
_cell_angle_gamma 90.00
_symmetry_space_group_name_H-M 'P 1'
_symmetry_Int_Tables_number 1
loop_
_symmetry_equiv_pos_as_xyz
'x,y,z'
loop_
_atom_site_label
_atom_site_fract_x
_atom_site_fract_y
_atom_site_fract_z
K1 0.195 0.695 0.390
Cs1 0.447 0.447 0.895
Hg1 0.712 0.212 0.423
Hg2 0.032 0.032 0.064
Sb1 0.826 0.826 0.652
```

calculated volume = 206 Å³ per cell
distance to the lowest polymorph of the same formula = 0.000 eV/atom
spin magnetization = 0.0 Bohr magnetons per cell

---

No. 6
Material: Cs4K2HgSb2
Method: DFT, GGA-PBE
State: relaxed

The structure in CIF format:
```
data_Cs4K2HgSb2
_cell_length_a 5.911
_cell_length_b 9.473
_cell_length_c 9.473
_cell_angle_alpha 76.20
_cell_angle_beta 80.14
_cell_angle_gamma 80.14
_symmetry_space_group_name_H-M 'P 1'
_symmetry_Int_Tables_number 1
loop_
_symmetry_equiv_pos_as_xyz
'x,y,z'
loop_
_atom_site_label
_atom_site_fract_x
_atom_site_fract_y
_atom_site_fract_z
K1 0.699 0.359 0.359
K2 0.301 0.641 0.641
Cs1 0.192 0.081 0.649
Cs2 0.808 0.351 0.919
Cs3 0.808 0.919 0.351
Cs4 0.192 0.649 0.081
Sb1 0.708 0.812 0.812
Sb2 0.292 0.188 0.188
Hg1 0.500 0.000 0.000
```

calculated volume = 503 Å³ per cell
spin magnetization = 0.0 Bohr magnetons per cell
uncorrected energy = -0.068 Ha/atom

---

No. 7
Material: CsKHgSe
Method: DFT, GGA-PBE
State: relaxed

The structure in CIF format:
```
data_CsKHgSe
_cell_length_a 5.957
_cell_length_b 5.957
_cell_length_c 5.957
_cell_angle_alpha 60.00
_cell_angle_beta 60.00
_cell_angle_gamma 60.00
_symmetry_space_group_name_H-M 'P 1'
_symmetry_Int_Tables_number 1
loop_
_symmetry_equiv_pos_as_xyz
'x,y,z'
loop_
_atom_site_label
_atom_site_fract_x
_atom_site_fract_y
_atom_site_fract_z
K1 0.000 0.000 0.000
Se1 0.250 0.250 0.250
Cs1 0.500 0.500 0.500
Hg1 0.750 0.750 0.750
```

calculated volume = 150 Å³ per cell
spin magnetization = 0.0 Bohr magnetons per cell
uncorrected energy = -0.081 Ha/atom

---

No. 8
Material: CsKHgSe2
Method: DFT, GGA-PBE
State: relaxed

The structure in CIF format:
```
data_CsKHgSe2
_cell_length_a 6.631
_cell_length_b 7.743
_cell_length_c 8.890
_cell_angle_alpha 115.82
_cell_angle_beta 90.00
_cell_angle_gamma 90.00
_symmetry_space_group_name_H-M 'P 1'
_symmetry_Int_Tables_number 1
loop_
_symmetry_equiv_pos_as_xyz
'x,y,z'
loop_
_atom_site_label
_atom_site_fract_x
_atom_site_fract_y
_atom_site_fract_z
Se1 0.769 0.622 0.244
Se2 0.231 0.378 0.756
Se3 0.769 0.878 0.756
Se4 0.231 0.122 0.244
Hg1 0.000 0.000 0.000
Hg2 0.000 0.500 0.000
K1 0.500 0.750 0.000
K2 0.500 0.250 0.000
Cs1 0.774 0.250 0.500
Cs2 0.226 0.750 0.500
```

calculated volume = 411 Å³ per cell
spin magnetization = 0.0 Bohr magnetons per cell
uncorrected energy = -0.099 Ha/atom

---

No. 9
Material: Cs2KHgSe
Method: DFT, GGA-PBE
State: relaxed

The structure in CIF format:
```
data_Cs2KHgSe
_cell_length_a 7.039
_cell_length_b 7.039
_cell_length_c 6.268
_cell_angle_alpha 90.00
_cell_angle_beta 90.00
_cell_angle_gamma 90.00
_symmetry_space_group_name_H-M 'P 1'
_symmetry_Int_Tables_number 1
loop_
_symmetry_equiv_pos_as_xyz
'x,y,z'
loop_
_atom_site_label
_atom_site_fract_x
_atom_site_fract_y
_atom_site_fract_z
Cs1 0.000 0.500 0.000
Cs2 0.500 0.000 0.000
K1 0.000 0.000 0.500
Se1 0.000 0.000 0.000
Hg1 0.500 0.500 0.500
```

calculated volume = 311 Å³ per cell
spin magnetization = 0.0 Bohr magnetons per cell
uncorrected energy = -0.071 Ha/atom

---

No. 10
Material: CsK2SrHg
Method: DFT, GGA-PBE
State: relaxed

The structure in CIF format:
```
data_CsK2SrHg
_cell_length_a 6.981
_cell_length_b 6.981
_cell_length_c 6.543
_cell_angle_alpha 90.00
_cell_angle_beta 90.00
_cell_angle_gamma 90.00
_symmetry_space_group_name_H-M 'P 1'
_symmetry_Int_Tables_number 1
loop_
_symmetry_equiv_pos_as_xyz
'x,y,z'
loop_
_atom_site_label
_atom_site_fract_x
_atom_site_fract_y
_atom_site_fract_z
K1 0.000 0.500 0.000
K2 0.500 0.000 0.000
Sr1 0.000 0.000 0.500
Hg1 0.000 0.000 0.000
Cs1 0.500 0.500 0.500
```

calculated volume = 319 Å³ per cell
spin magnetization = 0.0 Bohr magnetons per cell
energy of formation = -0.0709 eV/atom

---

No. 11
Material: CsKSr2Hg
Method: DFT, GGA-PBE
State: relaxed

The structure in CIF format:
```
data_CsKSr2Hg
_cell_length_a 6.470
_cell_length_b 6.470
_cell_length_c 7.167
_cell_angle_alpha 90.00
_cell_angle_beta 90.00
_cell_angle_gamma 90.00
_symmetry_space_group_name_H-M 'P 1'
_symmetry_Int_Tables_number 1
loop_
_symmetry_equiv_pos_as_xyz
'x,y,z'
loop_
_atom_site_label
_atom_site_fract_x
_atom_site_fract_y
_atom_site_fract_z
K1 0.000 0.000 0.500
Sr1 0.000 0.500 0.000
Sr2 0.500 0.000 0.000
Hg1 0.000 0.000 0.000
Cs1 0.500 0.500 0.500
```

calculated volume = 300 Å³ per cell
distance to the lowest polymorph of the same formula = 0.000 eV/atom
spin magnetization = 0.0 Bohr magnetons per cell
energy of formation = -0.0852 eV/atom

---

No. 12
Material: CsKSr2Hg
Method: DFT, GGA-PBE
State: relaxed

The structure in CIF format:
```
data_CsKSr2Hg
_cell_length_a 6.502
_cell_length_b 6.502
_cell_length_c 7.323
_cell_angle_alpha 90.00
_cell_angle_beta 90.00
_cell_angle_gamma 90.00
_symmetry_space_group_name_H-M 'P 1'
_symmetry_Int_Tables_number 1
loop_
_symmetry_equiv_pos_as_xyz
'x,y,z'
loop_
_atom_site_label
_atom_site_fract_x
_atom_site_fract_y
_atom_site_fract_z
Sr1 0.000 0.500 0.000
Sr2 0.500 0.000 0.000
K1 0.500 0.500 0.500
Cs1 0.000 0.000 0.500
Hg1 0.000 0.000 0.000
```

calculated volume = 310 Å³ per cell
distance to the lowest polymorph of the same formula = 0.020 eV/atom
spin magnetization = 0.0 Bohr magnetons per cell
energy of formation = -0.0657 eV/atom

---

No. 13
Material: CsKHgTe2
Method: DFT, GGA-PBE
State: relaxed

The structure in CIF format:
```
data_CsKHgTe2
_cell_length_a 7.100
_cell_length_b 7.909
_cell_length_c 9.285
_cell_angle_alpha 115.21
_cell_angle_beta 90.00
_cell_angle_gamma 90.00
_symmetry_space_group_name_H-M 'P 1'
_symmetry_Int_Tables_number 1
loop_
_symmetry_equiv_pos_as_xyz
'x,y,z'
loop_
_atom_site_label
_atom_site_fract_x
_atom_site_fract_y
_atom_site_fract_z
Cs1 0.770 0.250 0.500
Cs2 0.230 0.750 0.500
Te1 0.229 0.126 0.253
Te2 0.771 0.874 0.747
Te3 0.771 0.626 0.253
Te4 0.229 0.374 0.747
Hg1 0.000 0.000 0.000
Hg2 0.000 0.500 0.000
K1 0.500 0.750 0.000
K2 0.500 0.250 0.000
```

calculated volume = 472 Å³ per cell
spin magnetization = 0.0 Bohr magnetons per cell
uncorrected energy = -0.090 Ha/atom